## CrAg2Mo (PBE)

Data for an optimized crystal structure of CrAg2Mo.

Output
**Energy of formation**: 2.6 eV/f.u.
**Crystal system**: trigonal
**D(E_F)**: 1.0733 states/eV per atom

Geometry as CIF:
```
data_CrAg2Mo
_symmetry_space_group_name_H-M 'R -3 m'
_symmetry_Int_Tables_number 166
_symmetry_space_group_name_Hall '-R 3 2"'
_cell_length_a 2.8315
_cell_length_b 2.8315
_cell_length_c 28.6587
_cell_angle_alpha 90.00
_cell_angle_beta 90.00
_cell_angle_gamma 120.00
loop_
_atom_site_label
_atom_site_fract_x
_atom_site_fract_y
_atom_site_fract_z
Cr1 0.0000 0.0000 0.0000
Ag1 0.0000 0.0000 0.2519
Mo1 0.0000 0.0000 0.5000
```

***

## RbGe2Ir (PBE)

Data for an optimized crystal structure of RbGe2Ir.

Output
**Energy of formation**: 0.0 eV/f.u.
**Crystal system**: tetragonal
**D(E_F)**: 0.9580 states/eV per atom

Geometry as CIF:
```
data_RbGe2Ir
_symmetry_space_group_name_H-M 'P 4/m m m'
_symmetry_Int_Tables_number 123
_symmetry_space_group_name_Hall '-P 4 2'
_cell_length_a 3.306
_cell_length_b 3.306
_cell_length_c 8.047
_cell_angle_alpha 90.00
_cell_angle_beta 90.00
_cell_angle_gamma 90.00
loop_
_atom_site_label
_atom_site_fract_x
_atom_site_fract_y
_atom_site_fract_z
Rb1 0.000 0.000 0.000
Ge1 0.500 0.500 0.332
Ir1 0.000 0.000 0.500
```

***

## K2Na2Au (PBE)

Data for an optimized crystal structure of K2Na2Au.

Output
**Energy of formation**: -0.3 eV/f.u.
**Crystal system**: tetragonal
**D(E_F)**: 0.4239 states/eV per atom

Geometry as CIF:
```
data_K2Na2Au
_symmetry_space_group_name_H-M 'P 4/m b m'
_symmetry_Int_Tables_number 127
_symmetry_space_group_name_Hall '-P 4 2ab'
_cell_length_a 7.968
_cell_length_b 7.968
_cell_length_c 6.105
_cell_angle_alpha 90.00
_cell_angle_beta 90.00
_cell_angle_gamma 90.00
loop_
_atom_site_label
_atom_site_fract_x
_atom_site_fract_y
_atom_site_fract_z
K1 0.190 0.310 0.000
Na1 0.153 0.653 0.500
Au1 0.000 0.000 0.500
```

***

## Rb2TaPdAu (PBE)

Data for an optimized crystal structure of Rb2TaPdAu.

Output
**Energy of formation**: 6.9 eV/f.u.
**Crystal system**: tetragonal
**D(E_F)**: 0.5929 states/eV per atom

Geometry as CIF:
```
data_Rb2TaPdAu
_symmetry_space_group_name_H-M 'P 4/m m m'
_symmetry_Int_Tables_number 123
_symmetry_space_group_name_Hall '-P 4 2'
_cell_length_a 6.130
_cell_length_b 6.130
_cell_length_c 5.239
_cell_angle_alpha 90.00
_cell_angle_beta 90.00
_cell_angle_gamma 90.00
loop_
_atom_site_label
_atom_site_fract_x
_atom_site_fract_y
_atom_site_fract_z
Rb1 0.000 0.500 0.000
Ta1 0.000 0.000 0.500
Pd1 0.500 0.500 0.000
Au1 0.500 0.500 0.500
```

***

## SeI2Cl (PBE)

Data for an optimized crystal structure of SeI2Cl.

Output
**Raw formation energy**: -23 meV/atom
**Crystal system**: monoclinic
**D(E_F)**: 0.4415 states/eV per atom

Geometry as CIF:
```
data_SeI2Cl
_symmetry_space_group_name_H-M 'C 1 2 1'
_symmetry_Int_Tables_number 5
_cell_length_a 8.142
_cell_length_b 5.306
_cell_length_c 8.396
_cell_angle_alpha 90.00
_cell_angle_beta 116.60
_cell_angle_gamma 90.00
loop_
_symmetry_equiv_pos_as_xyz
'x,y,z'
'-x,y,-z'
'x+1/2,y+1/2,z'
'-x+1/2,y+1/2,-z'
loop_
_atom_site_label
_atom_site_fract_x
_atom_site_fract_y
_atom_site_fract_z
Se1 0.000 0.000 0.000
I1 0.244 0.292 0.230
Cl1 0.000 0.095 0.500
```

***

## ZrBe2O (PBE)

Data for an optimized crystal structure of ZrBe2O.

Output
**Raw formation energy**: -510 meV/atom
**Crystal system**: tetragonal
**D(E_F)**: 0.3385 states/eV per atom

Geometry as CIF:
```
data_ZrBe2O
_symmetry_space_group_name_H-M 'I -4 2 d'
_symmetry_Int_Tables_number 122
_symmetry_space_group_name_Hall 'I -4 2bw'
_cell_length_a 5.321
_cell_length_b 5.321
_cell_length_c 7.371
_cell_angle_alpha 90.00
_cell_angle_beta 90.00
_cell_angle_gamma 90.00
loop_
_atom_site_label
_atom_site_fract_x
_atom_site_fract_y
_atom_site_fract_z
Zr1 0.000 0.000 0.000
Be1 0.068 0.750 0.625
O1 0.000 0.000 0.500
```

***

## CaPm2Bi (PBE)

Data for an optimized crystal structure of CaPm2Bi.

Output
**Energy of formation**: -1.9 eV/f.u.
**Crystal system**: monoclinic
**D(E_F)**: 1.1931 states/eV per atom

Geometry as CIF:
```
data_CaPm2Bi
_symmetry_space_group_name_H-M 'P 1 21/m 1'
_symmetry_Int_Tables_number 11
_cell_length_a 4.802
_cell_length_b 4.829
_cell_length_c 11.928
_cell_angle_alpha 90.00
_cell_angle_beta 101.62
_cell_angle_gamma 90.00
loop_
_symmetry_equiv_pos_as_xyz
'x,y,z'
'-x,-y,-z'
'-x,y+1/2,-z'
'x,-y+1/2,z'
loop_
_atom_site_label
_atom_site_fract_x
_atom_site_fract_y
_atom_site_fract_z
Ca1 0.194 0.250 0.387
Pm1 0.059 0.750 0.117
Pm2 0.435 0.750 0.871
Bi1 0.333 0.250 0.666
```

***

## MgBe4As (PBE)

Data for an optimized crystal structure of MgBe4As.

Output
**Energy of formation**: 1.7 eV/f.u.
**Crystal system**: cubic
**D(E_F)**: 0.2327 states/eV per atom

Geometry as CIF:
```
data_MgBe4As
_symmetry_space_group_name_H-M 'F -4 3 m'
_symmetry_Int_Tables_number 216
_symmetry_space_group_name_Hall 'F -4 2 3'
_cell_length_a 6.585
_cell_length_b 6.585
_cell_length_c 6.585
_cell_angle_alpha 90.00
_cell_angle_beta 90.00
_cell_angle_gamma 90.00
loop_
_atom_site_label
_atom_site_fract_x
_atom_site_fract_y
_atom_site_fract_z
Mg1 0.000 0.000 0.000
Be1 0.128 0.128 0.628
As1 0.250 0.250 0.250
```

***

## LaHgTeI2 (PBE)

Data for an optimized crystal structure of LaHgTeI2.

Output
**Raw formation energy**: -772 meV/atom
**Crystal system**: tetragonal
**D(E_F)**: 0.7383 states/eV per atom

Geometry as CIF:
```
data_LaHgTeI2
_symmetry_space_group_name_H-M 'P 4/m m m'
_symmetry_Int_Tables_number 123
_symmetry_space_group_name_Hall '-P 4 2'
_cell_length_a 6.300
_cell_length_b 6.300
_cell_length_c 6.356
_cell_angle_alpha 90.00
_cell_angle_beta 90.00
_cell_angle_gamma 90.00
loop_
_atom_site_label
_atom_site_fract_x
_atom_site_fract_y
_atom_site_fract_z
La1 0.000 0.000 0.000
Hg1 0.500 0.500 0.500
Te1 0.000 0.000 0.500
I1 0.000 0.500 0.000
```

***

## EuErBiPb (PBE)

Data for an optimized crystal structure of EuErBiPb.

Output
**Energy of formation**: -1.9 eV/f.u.
**Crystal system**: cubic
**D(E_F)**: 1.0093 states/eV per atom

Geometry as CIF:
```
data_EuErBiPb
_symmetry_space_group_name_H-M 'F -4 3 m'
_symmetry_Int_Tables_number 216
_symmetry_space_group_name_Hall 'F -4 2 3'
_cell_length_a 7.876
_cell_length_b 7.876
_cell_length_c 7.876
_cell_angle_alpha 90.00
_cell_angle_beta 90.00
_cell_angle_gamma 90.00
loop_
_atom_site_label
_atom_site_fract_x
_atom_site_fract_y
_atom_site_fract_z
Eu1 0.000 0.000 0.000
Er1 0.000 0.000 0.500
Bi1 0.250 0.250 0.750
Pb1 0.250 0.250 0.250
```

***

## PrAl2Zn (PBE)

Data for an optimized crystal structure of PrAl2Zn.

Output
**Energy of formation**: 1.2 eV/f.u.
**Crystal system**: trigonal
**D(E_F)**: 0.8035 states/eV per atom

Geometry as CIF:
```
data_PrAl2Zn
_symmetry_space_group_name_H-M 'R -3 m'
_symmetry_Int_Tables_number 166
_symmetry_space_group_name_Hall '-R 3 2"'
_cell_length_a 3.1456
_cell_length_b 3.1456
_cell_length_c 31.2283
_cell_angle_alpha 90.00
_cell_angle_beta 90.00
_cell_angle_gamma 120.00
loop_
_atom_site_label
_atom_site_fract_x
_atom_site_fract_y
_atom_site_fract_z
Pr1 0.0000 0.0000 0.0000
Al1 0.0000 0.0000 0.1001
Zn1 0.0000 0.0000 0.5000
```

***

## DyZn6Cd6 (PBE)

Data for an optimized crystal structure of DyZn6Cd6.

Output
**Energy of formation**: -1.4 eV/f.u.
**Crystal system**: orthorhombic
**D(E_F)**: 0.1674 states/eV per atom

Geometry as CIF:
```
data_DyZn6Cd6
_symmetry_space_group_name_H-M 'I m m m'
_symmetry_Int_Tables_number 71
_symmetry_space_group_name_Hall '-I 2 2'
_cell_length_a 5.582
_cell_length_b 9.307
_cell_length_c 9.491
_cell_angle_alpha 90.00
_cell_angle_beta 90.00
_cell_angle_gamma 90.00
loop_
_atom_site_label
_atom_site_fract_x
_atom_site_fract_y
_atom_site_fract_z
Dy1 0.000 0.000 0.000
Zn1 0.000 0.500 0.273
Zn2 0.250 0.250 0.250
Cd1 0.000 0.000 0.345
Cd2 0.000 0.304 0.500
Cd3 0.000 0.345 0.000
```

***

## Mg2TcCl (PBE)

Data for an optimized crystal structure of Mg2TcCl.

Output
**Raw formation energy**: -263 meV/atom
**Crystal system**: monoclinic
**D(E_F)**: 0.5288 states/eV per atom

Geometry as CIF:
```
data_Mg2TcCl
_symmetry_space_group_name_H-M 'P 1 2/m 1'
_symmetry_Int_Tables_number 10
_cell_length_a 3.140
_cell_length_b 3.008
_cell_length_c 7.934
_cell_angle_alpha 90.00
_cell_angle_beta 90.08
_cell_angle_gamma 90.00
loop_
_symmetry_equiv_pos_as_xyz
'x,y,z'
'-x,-y,-z'
'-x,y,-z'
'x,-y,z'
loop_
_atom_site_label
_atom_site_fract_x
_atom_site_fract_y
_atom_site_fract_z
Mg1 0.001 0.000 0.231
Tc1 0.500 0.500 0.000
Cl1 0.000 0.500 0.500
```

***

## PuSc2S (PBE)

Data for an optimized crystal structure of PuSc2S.

Output
**Raw formation energy**: -631 meV/atom
**Crystal system**: trigonal
**D(E_F)**: 2.3454 states/eV per atom

Geometry as CIF:
```
data_PuSc2S
_symmetry_space_group_name_H-M 'R -3 m'
_symmetry_Int_Tables_number 166
_symmetry_space_group_name_Hall '-R 3 2"'
_cell_length_a 3.4411
_cell_length_b 3.4411
_cell_length_c 27.9571
_cell_angle_alpha 90.00
_cell_angle_beta 90.00
_cell_angle_gamma 120.00
loop_
_atom_site_label
_atom_site_fract_x
_atom_site_fract_y
_atom_site_fract_z
Pu1 0.0000 0.0000 0.0000
Sc1 0.0000 0.0000 0.1117
S1 0.0000 0.0000 0.5000
```

***

## LiTa2Te4Br10O (PBE)

Data for an optimized crystal structure of LiTa2Te4Br10O.

Output
**Raw formation energy**: -882 meV/atom
**Crystal system**: triclinic
**D(E_F)**: 0.3352 states/eV per atom

Geometry as CIF:
```
data_LiTa2Te4Br10O
_symmetry_space_group_name_H-M 'P 1'
_symmetry_Int_Tables_number 1
_cell_length_a 7.256
_cell_length_b 8.076
_cell_length_c 12.000
_cell_angle_alpha 85.07
_cell_angle_beta 87.30
_cell_angle_gamma 75.98
loop_
_symmetry_equiv_pos_as_xyz
'x,y,z'
loop_
_atom_site_label
_atom_site_fract_x
_atom_site_fract_y
_atom_site_fract_z
Li1 0.000 0.000 0.000
Ta1 0.293 0.873 0.205
Ta2 0.441 0.946 0.896
Te1 0.085 0.471 0.602
Te2 0.634 0.356 0.485
Te3 0.857 0.247 0.670
Te4 0.859 0.582 0.418
Br1 0.036 0.152 0.188
Br2 0.048 0.721 0.138
Br3 0.168 0.232 0.883
Br4 0.179 0.817 0.410
Br5 0.193 0.802 0.834
Br6 0.528 0.020 0.268
Br7 0.529 0.016 0.688
Br8 0.533 0.585 0.216
Br9 0.648 0.138 0.956
Br10 0.695 0.682 0.907
O1 0.359 0.913 0.048
```

***

## CoRu (PBE)

Data for an optimized crystal structure of CoRu.

Output
**Energy of formation**: 0.4 eV/f.u.
**Crystal system**: trigonal
**D(E_F)**: 1.5416 states/eV per atom

Geometry as CIF:
```
data_CoRu
_symmetry_space_group_name_H-M 'R -3 m'
_symmetry_Int_Tables_number 166
_symmetry_space_group_name_Hall '-R 3 2"'
_cell_length_a 2.6430
_cell_length_b 2.6430
_cell_length_c 25.1694
_cell_angle_alpha 90.00
_cell_angle_beta 90.00
_cell_angle_gamma 120.00
loop_
_atom_site_label
_atom_site_fract_x
_atom_site_fract_y
_atom_site_fract_z
Co1 0.0000 0.0000 0.1282
Ru1 0.0000 0.0000 0.3767
```

***

## HgHOF (PBE)

Data for an optimized crystal structure of HgHOF.

Output
**Crystal system**: orthorhombic
**Calculated total energy**: -3.68 eV/atom

Geometry as CIF:
```
data_HgHOF
_symmetry_space_group_name_H-M 'P 21 21 21'
_symmetry_Int_Tables_number 19
_cell_length_a 4.987
_cell_length_b 6.244
_cell_length_c 7.012
_cell_angle_alpha 90.00
_cell_angle_beta 90.00
_cell_angle_gamma 90.00
loop_
_symmetry_equiv_pos_as_xyz
'x,y,z'
'-x+1/2,-y,z+1/2'
'x+1/2,-y+1/2,-z'
'-x,y+1/2,-z+1/2'
loop_
_atom_site_label
_atom_site_fract_x
_atom_site_fract_y
_atom_site_fract_z
Hg1 0.247 0.001 0.367
H1 0.144 0.505 0.386
O1 0.032 0.092 0.116
F1 0.099 0.610 0.883
```

***

## CuNi2Rh (PBE)

Data for an optimized crystal structure of CuNi2Rh.

Output
**Energy of formation**: 2.0 eV/f.u.
**Crystal system**: tetragonal
**D(E_F)**: 2.0235 states/eV per atom

Geometry as CIF:
```
data_CuNi2Rh
_symmetry_space_group_name_H-M 'I -4 2 d'
_symmetry_Int_Tables_number 122
_symmetry_space_group_name_Hall 'I -4 2bw'
_cell_length_a 6.498
_cell_length_b 6.498
_cell_length_c 4.978
_cell_angle_alpha 90.00
_cell_angle_beta 90.00
_cell_angle_gamma 90.00
loop_
_atom_site_label
_atom_site_fract_x
_atom_site_fract_y
_atom_site_fract_z
Cu1 0.000 0.000 0.000
Ni1 0.244 0.250 0.125
Rh1 0.000 0.000 0.500
```

***

## Rb2TlTeSe (PBE)

Data for an optimized crystal structure of Rb2TlTeSe.

Output
**Raw formation energy**: -576 meV/atom
**Crystal system**: tetragonal
**D(E_F)**: 1.0144 states/eV per atom

Geometry as CIF:
```
data_Rb2TlTeSe
_symmetry_space_group_name_H-M 'P 4/m m m'
_symmetry_Int_Tables_number 123
_symmetry_space_group_name_Hall '-P 4 2'
_cell_length_a 6.551
_cell_length_b 6.551
_cell_length_c 5.528
_cell_angle_alpha 90.00
_cell_angle_beta 90.00
_cell_angle_gamma 90.00
loop_
_atom_site_label
_atom_site_fract_x
_atom_site_fract_y
_atom_site_fract_z
Rb1 0.000 0.500 0.000
Tl1 0.000 0.000 0.500
Te1 0.500 0.500 0.500
Se1 0.000 0.000 0.000
```

***

## Zr2ZnCu (PBE)

Data for an optimized crystal structure of Zr2ZnCu.

Output
**Energy of formation**: 0.8 eV/f.u.
**Crystal system**: tetragonal
**D(E_F)**: 0.6359 states/eV per atom

Geometry as CIF:
```
data_Zr2ZnCu
_symmetry_space_group_name_H-M 'I 4/m m m'
_symmetry_Int_Tables_number 139
_symmetry_space_group_name_Hall '-I 4 2'
_cell_length_a 3.293
_cell_length_b 3.293
_cell_length_c 14.991
_cell_angle_alpha 90.00
_cell_angle_beta 90.00
_cell_angle_gamma 90.00
loop_
_atom_site_label
_atom_site_fract_x
_atom_site_fract_y
_atom_site_fract_z
Zr1 0.000 0.000 0.181
Zn1 0.000 0.000 0.500
Cu1 0.000 0.000 0.000
```